PrNdTmAl: optimized geometry, PBE-GGA.

Unit cell a=3.552 b=3.552 c=9.320 alpha=90.00 beta=90.00 gamma=90.00
Space group P4mm (No. 99)
One atom of each set of equivalent atoms:
Pr 0.000 0.000 0.000 (multiplicity 1)
Nd 0.500 0.500 0.694 (multiplicity 1)
Tm 0.500 0.500 0.278 (multiplicity 1)
Al 0.000 0.000 0.476 (multiplicity 1)

Summary:
- ΔH_f (0 K) (eV per atom) = -0.174
- Fermi-level density of states (states/eV/f.u.) = 3.7
- excess energy over the best structure of this formula in the dataset (meV/atom) = 0